No. 1
DFT (SCAN) results for a PBEsol-optimized structure of Tl2NiPbCl.

Calculated values
- raw formation energy (eV per atom) = 0.177
- total DFT energy (no corrections) (eV per cell) = -243.77
- SG = P4/mmm (123)
- DOS at the Fermi energy (states/eV per cell) = 3.71

a b c (Å): 3.999 5.865 5.865
angles (deg): 90.00 90.00 90.00
Fractional coordinates of all 5 atoms:
Cl (0.000, 0.000, 0.000)
Pb (0.500, 0.500, 0.500)
Tl (0.000, 0.000, 0.500)
Tl (0.000, 0.500, 0.000)
Ni (0.500, 0.000, 0.000)

No. 2
DFT (SCAN) results for a PBEsol-optimized structure of CrFePS2.

Calculated values
- raw formation energy (eV per atom) = 0.505
- total DFT energy (no corrections) (eV per cell) = -63.64
- SG = P4/mmm (123)
- DOS at the Fermi energy (states/eV per cell) = 4.52

a b c (Å): 4.430 4.386 4.386
angles (deg): 90.00 90.00 90.00
Last column: magnetic moment on the atom in μB.
Fractional coordinates of all 5 atoms:
P (0.500, 0.000, 0.000)  -0.26
S (0.000, 0.500, 0.000)  0.01
S (0.000, 0.000, 0.500)  0.01
Cr (0.000, 0.000, 0.000)  2.08
Fe (0.500, 0.500, 0.500)  3.40

No. 3
DFT (SCAN) results for a PBEsol-optimized structure of RbAg3C.

Calculated values
- total DFT energy (no corrections) (eV per cell) = -111.58
- SG = Pm-3m (221)
- DOS at the Fermi energy (states/eV per cell) = 4.65

a b c (Å): 5.768 5.768 5.768
angles (deg): 90.00 90.00 90.00
Last column: magnetic moment on the atom in μB.
Fractional coordinates of all 5 atoms:
C (0.500, 0.500, 0.500)  0.99
Rb (0.000, 0.000, 0.000)  -0.06
Ag (0.500, 0.000, 0.000)  -0.16
Ag (0.000, 0.000, 0.500)  -0.16
Ag (0.000, 0.500, 0.000)  -0.16

No. 4
DFT (SCAN) results for a PBEsol-optimized structure of MgFeBr2.

Calculated values
- raw formation energy (eV per atom) = -0.249
- E above lowest polymorph (eV per atom) = 0.1803
- total DFT energy (no corrections) (eV per cell) = -63.02
- SG = Imm2 (44)
- DOS at the Fermi energy (states/eV per cell) = 1.76

a b c (Å): 3.289 5.811 5.811
angles (deg): 62.95 73.56 73.56
Last column: magnetic moment on the atom in μB.
Fractional coordinates of all 4 atoms:
Br (0.034, 0.966, 0.966)  0.04
Br (0.204, 0.296, 0.296)  0.09
Mg (0.754, 0.746, 0.746)  -0.02
Fe (0.507, 0.493, 0.493)  3.35

No. 5
DFT (SCAN) results for a PBEsol-optimized structure of YMg2Hg.

Calculated values
- total DFT energy (no corrections) (eV per cell) = -107.65
- SG = F-43m (216)
- DOS at the Fermi energy (states/eV per cell) = 1.33

a b c (Å): 5.025 5.025 5.025
angles (deg): 60.00 60.00 60.00
Fractional coordinates of all 4 atoms:
Y (0.500, 0.500, 0.500)
Hg (0.250, 0.250, 0.250)
Mg (0.750, 0.750, 0.750)
Mg (0.000, 0.000, 0.000)

No. 6
DFT (SCAN) results for a PBEsol-optimized structure of Tl2ICl.

Calculated values
- raw formation energy (eV per atom) = -0.726
- E above lowest polymorph (eV per atom) = 0.0972
- total DFT energy (no corrections) (eV per cell) = -384.68
- SG = I-42d (122)
- DOS at the Fermi energy (states/eV per cell) = 0.00

a b c (Å): 7.374 7.374 8.899
angles (deg): 114.48 114.48 90.00
Fractional coordinates of all 8 atoms:
Tl (0.625, 0.589, 0.750)
Tl (0.411, 0.875, 0.250)
Tl (0.125, 0.161, 0.750)
Tl (0.839, 0.375, 0.250)
Cl (0.750, 0.250, 0.500)
Cl (0.500, 0.500, 0.000)
I (0.250, 0.750, 0.500)
I (0.000, 0.000, 0.000)

No. 7
DFT (SCAN) results for a PBEsol-optimized structure of IrPtAu2.

Calculated values
- E above lowest polymorph (eV per atom) = 0.0647
- total DFT energy (no corrections) (eV per cell) = -278.17
- SG = I-4m2 (119)
- DOS at the Fermi energy (states/eV per cell) = 3.73

a b c (Å): 4.002 4.002 4.830
angles (deg): 114.48 114.48 90.00
Last column: magnetic moment on the atom in μB.
Fractional coordinates of all 4 atoms:
Au (0.000, 0.000, 0.000)  0.08
Au (0.750, 0.250, 0.500)  0.07
Pt (0.250, 0.750, 0.500)  0.35
Ir (0.500, 0.500, 0.000)  0.77

No. 8
DFT (SCAN) results for a PBEsol-optimized structure of K2NaInAs2.

Calculated values
- total DFT energy (no corrections) (eV per cell) = -196.63
- SG = Ibam (72)

a b c (Å): 6.701 6.726 8.987
angles (deg): 68.02 68.11 90.00
Fractional coordinates of all 12 atoms:
As (0.615, 0.397, 0.205)
As (0.821, 0.103, 0.795)
As (0.179, 0.897, 0.205)
As (0.385, 0.603, 0.795)
K (0.065, 0.325, 0.351)
K (0.935, 0.675, 0.649)
K (0.416, 0.175, 0.649)
K (0.584, 0.825, 0.351)
In (0.500, 0.750, 0.000)
In (0.500, 0.250, 0.000)
Na (0.000, 0.250, 0.000)
Na (0.000, 0.750, 0.000)

No. 9
DFT (SCAN) results for a PBEsol-optimized structure of AlTe3.

Calculated values
- raw formation energy (eV per atom) = 0.025
- total DFT energy (no corrections) (eV per cell) = -119.40
- SG = C2/m (12)
- DOS at the Fermi energy (states/eV per cell) = 2.15

a b c (Å): 3.706 5.420 6.092
angles (deg): 104.18 107.71 90.00
Fractional coordinates of all 4 atoms:
Te (0.500, 0.500, 0.000)
Te (0.325, 0.815, 0.649)
Te (0.675, 0.185, 0.351)
Al (0.000, 0.000, 0.000)

No. 10
DFT (SCAN) results for a PBEsol-optimized structure of LiGaOs2Se.

Calculated values
- raw formation energy (eV per atom) = 1.350
- total DFT energy (no corrections) (eV per cell) = -175.82
- SG = P4/mmm (123)
- DOS at the Fermi energy (states/eV per cell) = 4.33

a b c (Å): 3.890 4.296 4.296
angles (deg): 90.00 90.00 90.00
Fractional coordinates of all 5 atoms:
Li (0.000, 0.000, 0.000)
Ga (0.500, 0.500, 0.500)
Se (0.500, 0.000, 0.000)
Os (0.000, 0.500, 0.000)
Os (0.000, 0.000, 0.500)

No. 11
DFT (SCAN) results for a PBEsol-optimized structure of HgMo2Os.

Calculated values
- total DFT energy (no corrections) (eV per cell) = -208.02
- SG = Cm (8)
- DOS at the Fermi energy (states/eV per cell) = 2.73

a b c (Å): 2.841 4.870 4.915
angles (deg): 100.77 106.80 90.00
Fractional coordinates of all 4 atoms:
Mo (0.992, 0.979, 0.983)
Mo (0.245, 0.740, 0.489)
Os (0.512, 0.534, 0.024)
Hg (0.752, 0.247, 0.504)

No. 12
DFT (SCAN) results for a PBEsol-optimized structure of Li6Ti2O7.

Calculated values
- raw formation energy (eV per atom) = -2.726
- E above lowest polymorph (eV per atom) = 0.0000
- total DFT energy (no corrections) (eV per cell) = -261.81
- SG = C2/c (15)
- DOS at the Fermi energy (states/eV per cell) = 0.00

a b c (Å): 5.712 5.732 9.638
angles (deg): 99.65 90.00 119.89
Fractional coordinates of all 30 atoms:
Ti (0.796, 0.368, 0.370)
Ti (0.428, 0.632, 0.130)
Ti (0.204, 0.632, 0.630)
Ti (0.572, 0.368, 0.870)
Li (0.078, 0.408, 0.886)
Li (0.670, 0.592, 0.614)
Li (0.671, 0.140, 0.611)
Li (0.330, 0.408, 0.386)
Li (0.469, 0.140, 0.111)
Li (0.922, 0.592, 0.114)
Li (0.922, 0.130, 0.098)
Li (0.792, 0.870, 0.402)
Li (0.208, 0.130, 0.598)
Li (0.329, 0.860, 0.389)
Li (0.531, 0.860, 0.889)
Li (0.078, 0.870, 0.902)
O (0.504, 0.244, 0.475)
O (0.863, 0.504, 0.751)
O (0.729, 0.729, 0.999)
O (0.137, 0.496, 0.249)
O (0.649, 0.000, 0.250)
O (0.740, 0.244, 0.975)
O (0.496, 0.756, 0.525)
O (0.641, 0.504, 0.251)
O (0.359, 0.496, 0.749)
O (0.999, 0.729, 0.499)
O (0.001, 0.271, 0.501)
O (0.351, 0.000, 0.750)
O (0.260, 0.756, 0.025)
O (0.271, 0.271, 0.001)